<w>
Density functional theory data (meta-GGA SCAN) for a PBEsol-optimized structure of In2NiBr.

The calculation puts the density of states at the Fermi level at 14.5 states/eV/cell. As for the volume: 21.6 Å³ per atom. The value obtained for the magnetic moment is 0.0 μB per cell.

a b c (Å): 7.0168 7.0168 7.0168
angles (deg): 90.00 90.00 90.00
With the nearest neighbours (Å) after each atom.
Space group F-43m (No. 216)
Asymmetric unit:
1 In 0.0000 0.0000 0.0000  4 In 3.04, 4 Br 3.04
2 In 0.2500 0.2500 0.2500  4 Ni 3.04, 4 In 3.04
3 Ni 0.0000 0.0000 0.5000  4 Br 3.04, 4 In 3.04
4 Br 0.2500 0.2500 0.7500  4 In 3.04, 4 Ni 3.04

=====

<x>
Density functional theory data (meta-GGA SCAN) for a PBEsol-optimized structure of In2NiBr.

The calculation puts the density of states at the Fermi level at 5.4 states/eV/cell. As for the volume: 22.5 Å³ per atom. The value obtained for the magnetic moment is 0.0 μB per cell.

a b c (Å): 3.9813 3.9813 11.3614
angles (deg): 90.00 90.00 90.00
With the nearest neighbours (Å) after each atom.
Space group I-4m2 (No. 119)
Asymmetric unit:
1 In 0.0000 0.0000 0.0000  4 Ni 2.82
2 In 0.0000 0.5000 0.2500  4 Br 2.82
3 Ni 0.0000 0.0000 0.5000  4 In 2.82
4 Br 0.0000 0.5000 0.7500  4 In 2.82

=====

If we sort the structures by their calculated energies, the order from most to least stable is <x>, <w>.

=====

<w>
Density functional theory data (meta-GGA SCAN) for a PBEsol-optimized structure of InPBr2.

The calculation puts the density of states at the Fermi level at 2.6 states/eV/cell. As for the volume: 23.2 Å³ per atom. The value obtained for the magnetic moment is 0.0 μB per cell.

a b c (Å): 5.0957 5.0957 3.5681
angles (deg): 90.00 90.00 90.00
With the nearest neighbours (Å) after each atom.
Space group P4/mmm (No. 123)
Asymmetric unit:
1 In 0.0000 0.0000 0.0000  8 Br 3.11
2 P 0.5000 0.5000 0.0000  8 Br 3.11
3 Br 0.0000 0.5000 0.5000  4 In 3.11, 4 P 3.11

=====

<x>
Density functional theory data (meta-GGA SCAN) for a PBEsol-optimized structure of InPBr2.

As for the volume: 29.0 Å³ per atom. The value obtained for the magnetic moment is 0.0 μB per cell.

a b c (Å): 4.8992 4.2500 6.0219
angles (deg): 90.00 112.23 90.00
With the nearest neighbours (Å) after each atom.
Space group Pm (No. 6)
Asymmetric unit:
1 In 0.0000 0.0000 0.0000  2 P 2.53, 2 Br 2.75-2.82
2 P 0.8878 0.5000 0.7523  1 Br 2.32, 2 In 2.53
3 Br 0.3056 0.5000 0.6592  1 P 2.32
4 Br 0.6186 0.0000 0.2376  2 In 2.75-2.82

=====

If we sort the structures by their calculated energies, the order from most to least stable is <x>, <w>.

=====

<w>
Density functional theory data (meta-GGA SCAN) for a PBEsol-optimized structure of InPb2Br.

The calculation puts the density of states at the Fermi level at 2.0 states/eV/cell. As for the volume: 27.9 Å³ per atom. The value obtained for the magnetic moment is 0.0 μB per cell.

a b c (Å): 3.4720 4.6387 6.9266
angles (deg): 90.00 90.00 90.00
With the nearest neighbours (Å) after each atom.
Space group Pmmm (No. 47)
Asymmetric unit:
1 In 0.0000 0.0000 0.0000  8 Pb 3.37, 2 Br 3.46, 2 In 3.47
2 Pb 0.5000 0.5000 0.2487  4 In 3.37, 4 Br 3.38, 4 Pb 3.45-3.48
3 Br 0.0000 0.0000 0.5000  8 Pb 3.38, 2 In 3.46, 2 Br 3.47

=====

<x>
Density functional theory data (meta-GGA SCAN) for a PBEsol-optimized structure of InPb2Br.

The calculation puts the density of states at the Fermi level at 1.3 states/eV/cell. As for the volume: 28.4 Å³ per atom. The value obtained for the magnetic moment is 0.0 μB per cell.

a b c (Å): 3.5528 3.5528 8.9850
angles (deg): 90.00 90.00 90.00
With the nearest neighbours (Å) after each atom.
Space group P4mm (No. 99)
Asymmetric unit:
1 In 0.0000 0.0000 0.0000  4 Br 3.16, 4 Pb 3.43
2 Pb 0.0000 0.0000 0.5146  8 Pb 3.40-3.55, 4 Br 3.51
3 Pb 0.5000 0.5000 0.2602  8 Pb 3.40-3.55, 4 In 3.43
4 Br 0.5000 0.5000 0.7874  4 In 3.16, 4 Pb 3.51

=====

<y>
Density functional theory data (meta-GGA SCAN) for a PBEsol-optimized structure of InPb2Br.

The calculation puts the density of states at the Fermi level at 1.7 states/eV/cell. As for the volume: 27.7 Å³ per atom. The value obtained for the magnetic moment is 0.0 μB per cell.

a b c (Å): 5.6325 5.6325 3.4933
angles (deg): 90.00 90.00 90.00
With the nearest neighbours (Å) after each atom.
Space group P4/mmm (No. 123)
Asymmetric unit:
1 In 0.0000 0.0000 0.0000  8 Pb 3.31, 2 In 3.49
2 Pb 0.0000 0.5000 0.5000  4 In 3.31, 4 Br 3.31, 2 Pb 3.49
3 Br 0.5000 0.5000 0.0000  8 Pb 3.31, 2 Br 3.49

=====

If we sort the structures by their calculated energies, the order from most to least stable is <x>, <y>, <w>.

=====

<w>
Density functional theory data (meta-GGA SCAN) for a PBEsol-optimized structure of In2PtBr.

The calculation puts the density of states at the Fermi level at 2.8 states/eV/cell. As for the volume: 23.9 Å³ per atom. The value obtained for the magnetic moment is 0.0 μB per cell.

a b c (Å): 3.5498 3.5589 15.1419
angles (deg): 90.00 90.00 90.00
With the nearest neighbours (Å) after each atom.
Space group Imm2 (No. 44)
Asymmetric unit:
1 In 0.0000 0.0000 0.0000  4 Pt 2.70
2 In 0.0000 0.5000 0.2963  2 Pt 2.75
3 Pt 0.0000 0.0000 0.4345  6 In 2.70-2.75
4 Br 0.0000 0.5000 0.6667  6 In 3.09-3.19

=====

<x>
Density functional theory data (meta-GGA SCAN) for a PBEsol-optimized structure of In2PtBr.

The calculation puts the density of states at the Fermi level at 2.8 states/eV/cell. As for the volume: 23.8 Å³ per atom. The value obtained for the magnetic moment is 0.0 μB per cell.

a b c (Å): 3.8223 3.8223 22.5359
angles (deg): 90.00 90.00 120.00
With the nearest neighbours (Å) after each atom.
Space group R3m (No. 160, hexagonal axes)
Asymmetric unit:
1 In 0.0000 0.0000 0.0000  3 Br 3.07, 3 In 3.12
2 In 0.0000 0.0000 0.2353  3 Pt 2.62
3 Pt 0.0000 0.0000 0.5063  3 In 2.62, 3 Br 2.82
4 Br 0.0000 0.0000 0.7616  3 Pt 2.82, 3 In 3.07

=====

<y>
Density functional theory data (meta-GGA SCAN) for a PBEsol-optimized structure of In2PtBr.

The calculation puts the density of states at the Fermi level at 12.1 states/eV/cell. As for the volume: 21.9 Å³ per atom. The value obtained for the magnetic moment is 0.0 μB per cell.

a b c (Å): 7.0515 7.0515 7.0515
angles (deg): 90.00 90.00 90.00
With the nearest neighbours (Å) after each atom.
Space group Fm-3m (No. 225)
Asymmetric unit:
1 In 0.2500 0.2500 0.2500  4 Br 3.05, 4 Pt 3.05
2 Pt 0.0000 0.0000 0.0000  8 In 3.05
3 Br 0.0000 0.0000 0.5000  8 In 3.05

=====

If we sort the structures by their calculated energies, the order from most to least stable is <w>, <x>, <y>.